# PBE-GGA Nd2Dy2Er7, relaxed
data_Nd2Dy2Er7
_chemical_formula_sum 'Nd4 Dy4 Er14'
_cell_length_a 11.182
_cell_length_b 11.499
_cell_length_c 6.053
_cell_angle_alpha 90.00
_cell_angle_beta 113.93
_cell_angle_gamma 90.00
_symmetry_space_group_name_H-M 'C 1 2/m 1'
_symmetry_Int_Tables_number 12
loop_
_symmetry_equiv_pos_as_xyz
'x,y,z'
'-x,-y,-z'
'-x,y,-z'
'x,-y,z'
'x+1/2,y+1/2,z'
'-x+1/2,-y+1/2,-z'
'-x+1/2,y+1/2,-z'
'x+1/2,-y+1/2,z'
loop_
_atom_site_label
_atom_site_type_symbol
_atom_site_fract_x
_atom_site_fract_y
_atom_site_fract_z
Nd1 Nd 0.095 0.000 0.307
Dy1 Dy 0.000 0.288 0.000
Er1 Er 0.000 0.500 0.500
Er2 Er 0.174 0.262 0.679
Er3 Er 0.229 0.500 0.078
# Calculated volume ... 32.3 Å³/atom

---

# PBE-GGA Y2CrOs, relaxed
data_Y2CrOs
_chemical_formula_sum 'Y2 Cr1 Os1'
_cell_length_a 3.473
_cell_length_b 3.500
_cell_length_c 7.016
_cell_angle_alpha 90.00
_cell_angle_beta 90.00
_cell_angle_gamma 90.00
_symmetry_space_group_name_H-M 'P m m m'
_symmetry_Int_Tables_number 47
loop_
_symmetry_equiv_pos_as_xyz
'x,y,z'
'-x,-y,-z'
'-x,-y,z'
'x,y,-z'
'x,-y,-z'
'-x,y,z'
'-x,y,-z'
'x,-y,z'
loop_
_atom_site_label
_atom_site_type_symbol
_atom_site_fract_x
_atom_site_fract_y
_atom_site_fract_z
Y1 Y 0.000 0.000 0.234
Cr1 Cr 0.500 0.500 0.500
Os1 Os 0.500 0.500 0.000
# Calculated volume ... 21.3 Å³/atom
# ΔE to the lowest computed polymorph ... 2.69 kcal/mol of atoms

---

# PBE-GGA Ba2La2Pd, relaxed
data_Ba2La2Pd
_chemical_formula_sum 'Ba4 La4 Pd2'
_cell_length_a 7.728
_cell_length_b 7.728
_cell_length_c 6.616
_cell_angle_alpha 90.00
_cell_angle_beta 90.00
_cell_angle_gamma 90.00
_symmetry_space_group_name_H-M 'P 4/m b m'
_symmetry_Int_Tables_number 127
_symmetry_space_group_name_Hall '-P 4 2ab'
loop_
_atom_site_label
_atom_site_type_symbol
_atom_site_fract_x
_atom_site_fract_y
_atom_site_fract_z
Ba1 Ba 0.182 0.318 0.000
La1 La 0.160 0.660 0.500
Pd1 Pd 0.000 0.000 0.500
# Calculated volume ... 39.5 Å³/atom

---

Number 1: ΔH_f (0 K) 153 meV/atom. Number 2: ΔH_f (0 K) 153 meV/atom. Number 3: ΔH_f (0 K) -107 meV/atom.